Density functional theory data (PBE) for FeAg after structural relaxation.

Values from the calculation:
energy of formation from the pure elements: 1.232 eV/atom
DFT total energy: -8.67 eV per formula unit

Cell lengths 4.3626, 4.3626, 5.1648 Å; angles 90.00, 90.00, 120.00 degrees
With the nearest neighbours (Å) after each atom.
Space group P6_3/mmc (No. 194)
Unique sites:
1 Fe 0.3333 0.6667 0.2500 (multiplicity 2)  5 Ag 2.52-2.58
2 Ag 0.3333 0.6667 0.7500 (multiplicity 2)  5 Fe 2.52-2.58

Density functional theory data (PBE) for GaFeAg2 after structural relaxation.

Values from the calculation:
DFT total energy: -16.15 eV per formula unit

Cell lengths 6.3468, 6.3468, 6.3468 Å; angles 90.00, 90.00, 90.00 degrees
With the nearest neighbours (Å) after each atom.
Space group F-43m (No. 216)
Unique sites:
1 Ga 0.0000 0.0000 0.0000 (multiplicity 4)  4 Fe 2.75, 4 Ag 2.75
2 Fe 0.2500 0.2500 0.2500 (multiplicity 4)  4 Ga 2.75, 4 Ag 2.75
3 Ag 0.0000 0.0000 0.5000 (multiplicity 4)  4 Ag 2.75, 4 Fe 2.75
4 Ag 0.2500 0.2500 0.7500 (multiplicity 4)  4 Ga 2.75, 4 Ag 2.75

Density functional theory data (PBE) for Ga2FeAg after structural relaxation.

Values from the calculation:
DFT total energy: -16.19 eV per formula unit

Cell lengths 6.3132, 6.3132, 6.3132 Å; angles 90.00, 90.00, 90.00 degrees
With the nearest neighbours (Å) after each atom.
Space group F-43m (No. 216)
Unique sites:
1 Ga 0.0000 0.0000 0.0000 (multiplicity 4)  4 Fe 2.73, 4 Ga 2.73
2 Ga 0.2500 0.2500 0.2500 (multiplicity 4)  4 Ga 2.73, 4 Ag 2.73
3 Fe 0.2500 0.2500 0.7500 (multiplicity 4)  4 Ga 2.73, 4 Ag 2.73
4 Ag 0.0000 0.0000 0.5000 (multiplicity 4)  4 Ga 2.73, 4 Fe 2.73

Please write out number 2 again, unchanged.
Density functional theory data (PBE) for GaFeAg2 after structural relaxation.

Values from the calculation:
DFT total energy: -16.15 eV per formula unit

Cell lengths 6.3468, 6.3468, 6.3468 Å; angles 90.00, 90.00, 90.00 degrees
With the nearest neighbours (Å) after each atom.
Space group F-43m (No. 216)
Unique sites:
1 Ga 0.0000 0.0000 0.0000 (multiplicity 4)  4 Fe 2.75, 4 Ag 2.75
2 Fe 0.2500 0.2500 0.2500 (multiplicity 4)  4 Ga 2.75, 4 Ag 2.75
3 Ag 0.0000 0.0000 0.5000 (multiplicity 4)  4 Ag 2.75, 4 Fe 2.75
4 Ag 0.2500 0.2500 0.7500 (multiplicity 4)  4 Ga 2.75, 4 Ag 2.75